Entry 1:
Material: La2Sm15Tm2
Method: DFT, PBE
State: optimized geometry

a = 11.4223 Å, b = 11.4223 Å, c = 17.7995 Å
α = 90.00°, β = 90.00°, γ = 120.00°
With the nearest neighbours (Å) after each atom.
Space group R-3m (No. 166, hexagonal axes)
Asymmetric unit:
La: 0.0000 0.0000 0.1756 [6 per cell]  15 Sm 4.06-4.33, 1 Tm 4.09
Sm: 0.0000 0.2938 0.5000 [18 per cell]  6 Sm 3.36-3.43, 2 Tm 3.76
Sm: 0.0000 0.5000 0.0000 [9 per cell]  8 Sm 3.40-3.43, 2 Tm 3.54
Sm: 0.0126 0.5063 0.6379 [18 per cell]  6 Sm 3.33-3.40
Tm: 0.0000 0.0000 0.4052 [6 per cell]  1 Tm 3.37, 9 Sm 3.54-3.76

Calculated values
N(E_F): 33.698 states/eV/f.u.
spin magnetization: 0.02 μB/f.u.
ΔE_f: 0.25 eV per atom
total DFT energy (no corrections): -4.469 eV/atom



Entry 2:
Material: Al3PCl
Method: DFT, PBE
State: optimized geometry

a = 4.9264 Å, b = 4.9264 Å, c = 4.9264 Å
α = 90.00°, β = 90.00°, γ = 90.00°
With the nearest neighbours (Å) after each atom.
Space group Pm-3m (No. 221)
Asymmetric unit:
Al: 0.0000 0.0000 0.5000 [3 per cell]  2 Cl 2.46
P: 0.5000 0.5000 0.5000 [1 per cell]  12 Al 3.48
Cl: 0.0000 0.0000 0.0000 [1 per cell]  6 Al 2.46

Calculated values
N(E_F): 3.531 states/eV/f.u.
spin magnetization: 0.00 μB/f.u.
total DFT energy (no corrections): -2.830 eV/atom
excess energy over the best structure of this formula in the dataset: 514 meV/atom
energy relative to the elements, uncorrected: 0.867 eV/atom



Entry 3:
Material: Pu2IrI
Method: DFT, PBE
State: optimized geometry

a = 3.5432 Å, b = 3.5432 Å, c = 7.9505 Å
α = 90.00°, β = 90.00°, γ = 90.00°
With the nearest neighbours (Å) after each atom.
Space group P4/mmm (No. 123)
Asymmetric unit:
Pu: 0.0000 0.0000 0.2031 [2 per cell]  4 Ir 2.98, 1 Pu 3.23
Ir: 0.5000 0.5000 0.0000 [1 per cell]  8 Pu 2.98
I: 0.5000 0.5000 0.5000 [1 per cell]  8 Pu 3.44, 4 I 3.54

Calculated values
N(E_F): 14.234 states/eV/f.u.
spin magnetization: 11.28 μB/f.u.
total DFT energy (no corrections): -10.299 eV/atom
excess energy over the best structure of this formula in the dataset: 84 meV/atom
energy relative to the elements, uncorrected: -0.530 eV/atom



Entry 4:
Material: LaMn
Method: DFT, PBE
State: optimized geometry

a = 4.0064 Å, b = 4.0064 Å, c = 14.7681 Å
α = 90.00°, β = 90.00°, γ = 120.00°
With the nearest neighbours (Å) after each atom.
Space group P6_3/mmc (No. 194)
Asymmetric unit:
La: 0.3333 0.6667 0.1103 [4 per cell]  6 Mn 3.10
Mn: 0.0000 0.0000 0.2500 [2 per cell]  3 Mn 2.31
Mn: 0.3333 0.6667 0.7500 [2 per cell]  3 Mn 2.31

Calculated values
N(E_F): 2.471 states/eV/f.u.
spin magnetization: 0.22 μB/f.u.
ΔE_f: 0.16 eV per atom
total DFT energy (no corrections): -6.890 eV/atom



Entry 5:
Material: TiGe2Br
Method: DFT, PBE
State: optimized geometry

a = 3.7878 Å, b = 3.7878 Å, c = 22.8052 Å
α = 90.00°, β = 90.00°, γ = 90.00°
With the nearest neighbours (Å) after each atom.
Space group I-42d (No. 122)
Asymmetric unit:
Ti: 0.0000 0.0000 0.0000 [4 per cell]  4 Br 2.68
Ge: 0.2290 0.2500 0.1250 [8 per cell]  4 Ge 2.57-2.79
Br: 0.0000 0.0000 0.5000 [4 per cell]  4 Ti 2.68

Calculated values
N(E_F): 4.868 states/eV/f.u.
spin magnetization: 1.38 μB/f.u.
total DFT energy (no corrections): -4.523 eV/atom
excess energy over the best structure of this formula in the dataset: 0 meV/atom
energy relative to the elements, uncorrected: 0.177 eV/atom



Entry 6:
Material: SnBMo2
Method: DFT, PBE
State: optimized geometry

a = 5.0522 Å, b = 5.0522 Å, c = 12.4428 Å
α = 90.00°, β = 90.00°, γ = 90.00°
With the nearest neighbours (Å) after each atom.
Space group I-42d (No. 122)
Asymmetric unit:
Sn: 0.0000 0.0000 0.0000 [4 per cell]  4 Mo 2.81
B: 0.0000 0.0000 0.5000 [4 per cell]  4 Mo 2.08
Mo: 0.1090 0.2500 0.6250 [8 per cell]  2 B 2.08

Calculated values
N(E_F): 4.149 states/eV/f.u.
spin magnetization: 0.00 μB/f.u.
ΔE_f: 0.98 eV per atom
total DFT energy (no corrections): -7.101 eV/atom
excess energy over the best structure of this formula in the dataset: 171 meV/atom